DFT (PBE) results for a relaxed PrHo15Er4 crystal.

Geometry as POSCAR:
```
PrHo15Er4
1.0
-1.237 4.822 -0.354
-4.646 -1.084 1.465
6.691 3.461 23.784
Er Ho Pr
4 15 1
direct
0.000 0.000 0.599
0.000 0.000 0.401
0.000 0.000 0.202
0.000 0.000 0.798
0.500 0.500 0.202
0.500 0.500 0.798
0.000 0.500 0.301
0.500 0.000 0.102
0.000 0.500 0.699
0.000 0.500 0.898
0.500 0.500 0.599
0.500 0.500 0.401
0.500 0.000 0.500
0.000 0.500 0.500
0.500 0.000 0.699
0.500 0.500 0.000
0.500 0.000 0.898
0.000 0.500 0.102
0.500 0.000 0.301
0.000 0.000 0.000
```


DFT (PBE) results for a relaxed PrHo12Er2 crystal.

Geometry as POSCAR:
```
PrHo12Er2
1.0
6.399 1.439 0.525
1.439 6.399 -0.525
1.209 -1.209 24.691
Er Ho Pr
4 24 2
direct
0.047 0.453 0.272
0.547 0.953 0.272
0.953 0.547 0.728
0.453 0.047 0.728
0.599 0.401 0.203
0.496 0.504 0.669
0.103 0.397 0.861
0.683 0.817 0.425
0.556 0.444 0.924
0.897 0.603 0.139
0.832 0.168 0.555
0.317 0.183 0.575
0.444 0.556 0.076
0.901 0.099 0.797
0.401 0.599 0.797
0.603 0.897 0.861
0.004 0.996 0.331
0.332 0.668 0.555
0.668 0.332 0.445
0.504 0.496 0.331
0.056 0.944 0.924
0.996 0.004 0.669
0.817 0.683 0.575
0.944 0.056 0.076
0.168 0.832 0.445
0.183 0.317 0.425
0.397 0.103 0.139
0.099 0.901 0.203
0.000 0.500 0.000
0.500 0.000 0.000
```


Calculated density of states at the Fermi level in order - 1.309; 1.555 states/eV/atom
Calculated energy relative to the elements in order - 0.0217; 0.1129 eV per atom